# VIrPd2

Crystalline VIrPd2 at its relaxed geometry (GGA-PBE, Alexandria).

a b c (Å): 4.390 4.390 4.390
angles (deg): 60.00 60.00 60.00
Fractional coordinates of all 4 atoms:
1 Ir 0.500 0.500 0.500
2 Pd 0.250 0.250 0.250
3 Pd 0.750 0.750 0.750
4 V 0.000 0.000 0.000

energy above the lowest structure with this stoichiometry = 1.33 eV per formula unit
ΔE_f = 0.10 eV/atom
N(E_F) = 1.508 states/eV per atom
space-group type = Fm-3m, No. 225
V = 14.96 Å³ per atom
size of the total moment = 1.1 Bohr magnetons per cell